# SnBr, optimized geometry, DFT PBE
data_SnBr
_cell_length_a 8.812
_cell_length_b 8.812
_cell_length_c 8.812
_cell_angle_alpha 90.00
_cell_angle_beta 90.00
_cell_angle_gamma 90.00
_space_group_name_H-M_alt 'P m -3 n'
_space_group_IT_number 223
_space_group_name_Hall '-P 4n 2 3'
loop_
_atom_site_label
_atom_site_fract_x
_atom_site_fract_y
_atom_site_fract_z
Sn1 0.000 0.250 0.500
Br1 0.000 0.500 0.250
# Formation energy (no corrections) (eV per atom): 0.190
# Total magnetic moment (μB per formula unit): 0.985
# Uncorrected energy (eV per atom): -2.65

# BaTiAsBr2, optimized geometry, DFT PBE
data_BaTiAsBr2
_cell_length_a 5.285
_cell_length_b 5.285
_cell_length_c 5.088
_cell_angle_alpha 90.00
_cell_angle_beta 90.00
_cell_angle_gamma 90.00
_space_group_name_H-M_alt 'P 4/m m m'
_space_group_IT_number 123
_space_group_name_Hall '-P 4 2'
loop_
_atom_site_label
_atom_site_fract_x
_atom_site_fract_y
_atom_site_fract_z
Ba1 0.000 0.000 0.000
Ti1 0.500 0.500 0.500
As1 0.500 0.500 0.000
Br1 0.000 0.500 0.500
# E above lowest polymorph (kJ per mole of atoms): 0.0
# Formation energy (no corrections) (eV per atom): -1.126
# Total magnetic moment (μB per formula unit): 0.976
# Uncorrected energy (eV per atom): -4.69

# SrCd3Au3, optimized geometry, DFT PBE
data_SrCd3Au3
_cell_length_a 9.045
_cell_length_b 4.616
_cell_length_c 9.051
_cell_angle_alpha 90.00
_cell_angle_beta 119.96
_cell_angle_gamma 90.00
_space_group_name_H-M_alt 'P 1 21/m 1'
_space_group_IT_number 11
_space_group_name_Hall '-P 2yb'
loop_
_atom_site_label
_atom_site_fract_x
_atom_site_fract_y
_atom_site_fract_z
Sr1 0.167 0.250 0.333
Cd1 0.254 0.250 0.976
Cd2 0.278 0.750 0.754
Cd3 0.476 0.750 0.222
Au1 0.058 0.250 0.611
Au2 0.111 0.750 0.053
Au3 0.447 0.750 0.558
# E above lowest polymorph (kJ per mole of atoms): 0.0
# Energy relative to the elements (eV per atom): -0.369
# Total magnetic moment (μB per formula unit): 0.000
# Uncorrected energy (eV per atom): -2.41

# Sr2Li2As, optimized geometry, DFT PBE
data_Sr2Li2As
_cell_length_a 6.216
_cell_length_b 6.216
_cell_length_c 7.447
_cell_angle_alpha 90.00
_cell_angle_beta 90.00
_cell_angle_gamma 90.00
_space_group_name_H-M_alt 'I 4/m m m'
_space_group_IT_number 139
_space_group_name_Hall '-I 4 2'
loop_
_atom_site_label
_atom_site_fract_x
_atom_site_fract_y
_atom_site_fract_z
Sr1 0.000 0.500 0.250
Li1 0.000 0.000 0.168
As1 0.000 0.000 0.500
# E above lowest polymorph (kJ per mole of atoms): 10.8
# Energy relative to the elements (eV per atom): -0.215
# Total magnetic moment (μB per formula unit): 0.000
# Uncorrected energy (eV per atom): -2.58

# LaMoSe2, optimized geometry, DFT PBE
data_LaMoSe2
_cell_length_a 6.935
_cell_length_b 6.935
_cell_length_c 6.935
_cell_angle_alpha 90.00
_cell_angle_beta 90.00
_cell_angle_gamma 90.00
_space_group_name_H-M_alt 'F m -3 m'
_space_group_IT_number 225
_space_group_name_Hall '-F 4 2 3'
loop_
_atom_site_label
_atom_site_fract_x
_atom_site_fract_y
_atom_site_fract_z
La1 0.000 0.000 0.000
Mo1 0.000 0.000 0.500
Se1 0.250 0.250 0.250
# E above lowest polymorph (kJ per mole of atoms): 22.3
# Formation energy (no corrections) (eV per atom): -0.646
# Total magnetic moment (μB per formula unit): 1.000
# Uncorrected energy (eV per atom): -6.33

# Y2TlInHg, optimized geometry, DFT PBE
data_Y2TlInHg
_cell_length_a 7.317
_cell_length_b 4.722
_cell_length_c 8.021
_cell_angle_alpha 90.00
_cell_angle_beta 105.86
_cell_angle_gamma 90.00
_space_group_name_H-M_alt 'P 1 21/m 1'
_space_group_IT_number 11
_space_group_name_Hall '-P 2yb'
loop_
_atom_site_label
_atom_site_fract_x
_atom_site_fract_y
_atom_site_fract_z
Y1 0.003 0.250 0.183
Y2 0.406 0.750 0.628
Tl1 0.293 0.750 0.207
In1 0.337 0.250 0.948
Hg1 0.127 0.250 0.572
# Energy relative to the elements (eV per atom): -0.368
# Total magnetic moment (μB per formula unit): 0.000
# Uncorrected energy (eV per atom): -4.04

# Pr4AlZn2Cu, optimized geometry, DFT PBE
data_Pr4AlZn2Cu
_cell_length_a 5.2304
_cell_length_b 5.2304
_cell_length_c 25.6758
_cell_angle_alpha 90.00
_cell_angle_beta 90.00
_cell_angle_gamma 120.00
_space_group_name_H-M_alt 'R -3 m'
_space_group_IT_number 166
_space_group_name_Hall '-R 3 2"'
loop_
_atom_site_label
_atom_site_fract_x
_atom_site_fract_y
_atom_site_fract_z
Pr1 0.0000 0.0000 0.1217
Pr2 0.0000 0.0000 0.3720
Al1 0.0000 0.0000 0.5000
Zn1 0.0000 0.0000 0.2460
Cu1 0.0000 0.0000 0.0000
# Energy relative to the elements (eV per atom): -0.261
# Total magnetic moment (μB per formula unit): 0.000
# Uncorrected energy (eV per atom): -3.95

# NdY2HoN4, optimized geometry, DFT PBE
data_NdY2HoN4
_cell_length_a 6.092
_cell_length_b 3.518
_cell_length_c 6.093
_cell_angle_alpha 90.00
_cell_angle_beta 109.43
_cell_angle_gamma 90.00
_space_group_name_H-M_alt 'P 1 2/m 1'
_space_group_IT_number 10
_space_group_name_Hall '-P 2y'
loop_
_atom_site_label
_atom_site_fract_x
_atom_site_fract_y
_atom_site_fract_z
Nd1 0.000 0.000 0.000
Y1 0.500 0.000 0.500
Y2 0.500 0.500 0.000
Ho1 0.000 0.500 0.500
N1 0.252 0.000 0.745
N2 0.256 0.500 0.258
# Formation energy (no corrections) (eV per atom): -1.600
# Total magnetic moment (μB per formula unit): 0.000
# Uncorrected energy (eV per atom): -8.55

# CeTh3Rh4, optimized geometry, DFT PBE
data_CeTh3Rh4
_cell_length_a 5.768
_cell_length_b 11.579
_cell_length_c 5.769
_cell_angle_alpha 90.00
_cell_angle_beta 90.00
_cell_angle_gamma 90.00
_space_group_name_H-M_alt 'P m m n'
_space_group_IT_number 59
loop_
_space_group_symop_operation_xyz
'x,y,z'
'-x,-y,-z'
'-x+1/2,-y+1/2,z'
'x+1/2,y+1/2,-z'
'x+1/2,-y,-z'
'-x+1/2,y,z'
'-x,y+1/2,-z'
'x,-y+1/2,z'
loop_
_atom_site_label
_atom_site_fract_x
_atom_site_fract_y
_atom_site_fract_z
Ce1 0.250 0.250 0.249
Th1 0.250 0.000 0.750
Th2 0.250 0.750 0.251
Rh1 0.250 0.003 0.250
Rh2 0.250 0.250 0.749
Rh3 0.250 0.750 0.751
# E above lowest polymorph (kJ per mole of atoms): 0.2
# Energy relative to the elements (eV per atom): -0.853
# Total magnetic moment (μB per formula unit): 0.100
# Uncorrected energy (eV per atom): -8.05

# AlRe3, optimized geometry, DFT PBE
data_AlRe3
_cell_length_a 7.545
_cell_length_b 7.362
_cell_length_c 4.598
_cell_angle_alpha 90.00
_cell_angle_beta 90.00
_cell_angle_gamma 90.00
_space_group_name_H-M_alt 'C m c m'
_space_group_IT_number 63
_space_group_name_Hall '-C 2c 2'
loop_
_atom_site_label
_atom_site_fract_x
_atom_site_fract_y
_atom_site_fract_z
Al1 0.000 0.077 0.250
Re1 0.000 0.425 0.250
Re2 0.170 0.251 0.750
# Energy relative to the elements (eV per atom): 0.295
# Total magnetic moment (μB per formula unit): 0.000
# Uncorrected energy (eV per atom): -9.98

# NdSm2I8, optimized geometry, DFT PBE
data_NdSm2I8
_cell_length_a 17.395
_cell_length_b 9.558
_cell_length_c 7.474
_cell_angle_alpha 90.00
_cell_angle_beta 90.82
_cell_angle_gamma 90.00
_space_group_name_H-M_alt 'C 1 2/m 1'
_space_group_IT_number 12
_space_group_name_Hall '-C 2y'
loop_
_atom_site_label
_atom_site_fract_x
_atom_site_fract_y
_atom_site_fract_z
Nd1 0.000 0.000 0.000
Sm1 0.158 0.000 0.385
I1 0.068 0.244 0.245
I2 0.159 0.000 0.790
I3 0.182 0.500 0.712
# Formation energy (no corrections) (eV per atom): -1.237
# Total magnetic moment (μB per formula unit): 1.036
# Uncorrected energy (eV per atom): -3.66

# HfMnRu, optimized geometry, DFT PBE
data_HfMnRu
_cell_length_a 3.224
_cell_length_b 13.601
_cell_length_c 4.413
_cell_angle_alpha 90.00
_cell_angle_beta 90.00
_cell_angle_gamma 90.00
_space_group_name_H-M_alt 'C m c m'
_space_group_IT_number 63
_space_group_name_Hall '-C 2c 2'
loop_
_atom_site_label
_atom_site_fract_x
_atom_site_fract_y
_atom_site_fract_z
Hf1 0.000 0.088 0.250
Mn1 0.000 0.238 0.750
Ru1 0.000 0.416 0.250
# Energy relative to the elements (eV per atom): -0.299
# Total magnetic moment (μB per formula unit): 3.234
# Uncorrected energy (eV per atom): -9.76

# CsCdAg2Pt, optimized geometry, DFT PBE
data_CsCdAg2Pt
_cell_length_a 5.388
_cell_length_b 5.388
_cell_length_c 5.252
_cell_angle_alpha 90.00
_cell_angle_beta 90.00
_cell_angle_gamma 90.00
_space_group_name_H-M_alt 'P 4/m m m'
_space_group_IT_number 123
_space_group_name_Hall '-P 4 2'
loop_
_atom_site_label
_atom_site_fract_x
_atom_site_fract_y
_atom_site_fract_z
Cs1 0.000 0.000 0.000
Cd1 0.500 0.500 0.000
Ag1 0.000 0.500 0.500
Pt1 0.500 0.500 0.500
# Energy relative to the elements (eV per atom): 0.079
# Total magnetic moment (μB per formula unit): 0.000
# Uncorrected energy (eV per atom): -2.62

# Sr2MgInRh, optimized geometry, DFT PBE
data_Sr2MgInRh
_cell_length_a 5.778
_cell_length_b 5.778
_cell_length_c 5.200
_cell_angle_alpha 90.00
_cell_angle_beta 90.00
_cell_angle_gamma 90.00
_space_group_name_H-M_alt 'P 4/m m m'
_space_group_IT_number 123
_space_group_name_Hall '-P 4 2'
loop_
_atom_site_label
_atom_site_fract_x
_atom_site_fract_y
_atom_site_fract_z
Sr1 0.000 0.500 0.000
Mg1 0.000 0.000 0.500
In1 0.500 0.500 0.500
Rh1 0.500 0.500 0.000
# E above lowest polymorph (kJ per mole of atoms): 0.0
# Energy relative to the elements (eV per atom): -0.179
# Total magnetic moment (μB per formula unit): 0.000
# Uncorrected energy (eV per atom): -3.19